Model A:
A relaxed structure of ScTe2SI. Source: Alexandria, functional PBE-GGA.

The space group is P4/mmm (No. 123) and the conventional cell measures 5.5970, 5.5970 and 5.5497 Å, with angles of 90.00, 90.00 and 90.00 degrees. The asymmetric unit holds Sc at (0.0000, 0.0000, 0.0000), Te at (0.0000, 0.5000, 0.0000), S at (0.5000, 0.5000, 0.5000) and I at (0.0000, 0.0000, 0.5000).

Its total magnetization is 0.321 μB per atom.

---

Model B:
A relaxed structure of ScTe2SI. Source: Alexandria, functional PBE-GGA.

The space group is P4/mmm (No. 123) and the conventional cell measures 5.2470, 5.2470 and 5.4588 Å, with angles of 90.00, 90.00 and 90.00 degrees. The asymmetric unit holds Sc at (0.0000, 0.0000, 0.0000), Te at (0.0000, 0.5000, 0.5000), S at (0.5000, 0.5000, 0.5000) and I at (0.5000, 0.5000, 0.0000).

Its total magnetization is 0.090 μB per atom.

---

Most stable: model A (next structure +0.059 eV/atom)